No. 1
{"formula": "ZnMoP", "functional": "PBEsol", "state": "relaxed", "ef_mev_per_atom": 365, "dos_ef_per_ev_atom": 1.11, "mass_density_kg_m3": 6617, "dft_energy_ev_per_fu": -18.05, "lattice_angstrom": [[0.000, 2.890, 2.890], [2.890, 0.000, 2.890], [2.890, 2.890, 0.000]], "species": ["Zn", "Mo", "P"], "frac_coords": [[0.000, 0.000, 0.000], [0.750, 0.750, 0.750], [0.500, 0.500, 0.500]]}

---

No. 2
{"formula": "Zn2MoP", "functional": "PBEsol", "state": "relaxed", "ef_mev_per_atom": 57, "dos_ef_per_ev_atom": 0.51, "mass_density_kg_m3": 7537, "dft_energy_ev_per_fu": -20.50, "lattice_angstrom": [[4.444, -1.343, 0.000], [4.444, 1.343, 0.000], [-0.371, 0.000, 4.757]], "species": ["Zn", "Zn", "Mo", "P"], "frac_coords": [[0.000, 0.000, 0.000], [0.745, 0.745, 0.194], [0.267, 0.267, 0.697], [0.531, 0.531, 0.535]]}